Compound: Ba2SrAc
Source: the Alexandria database
Functional: PBE
Structure: optimized geometry

Uncorrected energy = -18.71 eV per cell
Volume = 54.59 Å³/atom
Crystal system = orthorhombic
Energy above the lowest structure with this stoichiometry = 0.011 eV/atom

abc: 4.7057 6.7745 13.6998
angles: 90.00 90.00 90.00
Space group Cmmm (No. 65)
Unique sites:
Ba  0.0000  0.0000  0.2434 [4 per cell]
Sr  0.0000  0.5000  0.5000 [2 per cell]
Ac  0.0000  0.5000  0.0000 [2 per cell]

---

Compound: Ba2Sr7Ac
Source: the Alexandria database
Functional: PBE
Structure: optimized geometry

Uncorrected energy = -37.37 eV per cell
Volume = 55.27 Å³/atom
Crystal system = orthorhombic

abc: 7.7562 35.0563 4.0653
angles: 90.00 90.00 90.00
Space group Cmmm (No. 65)
Unique sites:
Ba  0.0000  0.2060  0.0000 [4 per cell]
Sr  0.0000  0.0000  0.0000 [2 per cell]
Sr  0.0000  0.3130  0.5000 [4 per cell]
Sr  0.2461  0.4042  0.0000 [8 per cell]
Ac  0.0000  0.5000  0.5000 [2 per cell]

---

Compound: Ba5Sr2Ac
Source: the Alexandria database
Functional: PBE
Structure: optimized geometry

Uncorrected energy = -33.26 eV per cell
Volume = 57.71 Å³/atom
Crystal system = orthorhombic

abc: 8.4058 16.3407 6.7220
angles: 90.00 90.00 90.00
Space group Pbam (No. 55)
Unique sites:
Ba  0.0000  0.0000  0.0000 [2 per cell]
Ba  0.1220  0.2543  0.0000 [4 per cell]
Ba  0.1671  0.6185  0.5000 [4 per cell]
Sr  0.1763  0.8791  0.5000 [4 per cell]
Ac  0.0000  0.5000  0.0000 [2 per cell]

---

Repeat the first record exactly.
Compound: Ba2SrAc
Source: the Alexandria database
Functional: PBE
Structure: optimized geometry

Uncorrected energy = -18.71 eV per cell
Volume = 54.59 Å³/atom
Crystal system = orthorhombic
Energy above the lowest structure with this stoichiometry = 0.011 eV/atom

abc: 4.7057 6.7745 13.6998
angles: 90.00 90.00 90.00
Space group Cmmm (No. 65)
Unique sites:
Ba  0.0000  0.0000  0.2434 [4 per cell]
Sr  0.0000  0.5000  0.5000 [2 per cell]
Ac  0.0000  0.5000  0.0000 [2 per cell]

---

Look up the uncorrected energy of the third one.
-33.26 eV per cell

---

Which of these has the lowest uncorrected energy?
Ba2Sr7Ac